# 1
A relaxed structure of KSe2I2, computed with PBE-GGA.

Values from the calculation:
relative energy among the computed polymorphs	0	meV/atom
uncorrected formation energy	-0.46	eV per atom
symmetry	C2/c, No. 15

Cell: 6.386 4.547 20.241 Å, 92.30 90.00 134.61°
Element x y z (fractional)
K: 0.536 0.000 0.250
K: 0.464 0.000 0.750
Se: 0.702 0.589 0.520
Se: 0.113 0.411 0.980
Se: 0.298 0.411 0.480
Se: 0.887 0.589 0.020
I: 0.003 0.928 0.162
I: 0.075 0.072 0.338
I: 0.997 0.072 0.838
I: 0.925 0.928 0.662

---

# 2
A relaxed structure of CsZn2Pb2, computed with PBE-GGA.

Values from the calculation:
ΔE_f	0.13	eV/atom
relative energy among the computed polymorphs	142	meV/atom
symmetry	P4/mbm, No. 127

Cell: 9.392 9.392 3.462 Å, 90.00 90.00 90.00°
Element x y z (fractional)
Pb: 0.369 0.869 0.000
Pb: 0.869 0.631 0.000
Pb: 0.631 0.131 0.000
Pb: 0.131 0.369 0.000
Cs: 0.000 0.000 0.000
Cs: 0.500 0.500 0.000
Zn: 0.146 0.646 0.500
Zn: 0.646 0.854 0.500
Zn: 0.854 0.354 0.500
Zn: 0.354 0.146 0.500

---

# 3
A relaxed structure of BaBr2, computed with PBE-GGA.

Values from the calculation:
uncorrected formation energy	-1.66	eV per atom
symmetry	P6/mmm, No. 191

Cell: 5.481 5.481 3.971 Å, 90.00 90.00 120.00°
Element x y z (fractional)
Ba: 0.000 0.000 0.000
Br: 0.333 0.667 0.500
Br: 0.667 0.333 0.500

---

# 4
A relaxed structure of PuScAlGe, computed with PBE-GGA.

Values from the calculation:
ΔE_f	-0.36	eV/atom
symmetry	F-43m, No. 216

Cell: 4.904 4.904 4.904 Å, 60.00 60.00 60.00°
Last column: magnetic moment on the atom in μB.
Element x y z (fractional)
Sc: 0.750 0.750 0.750  0.15
Ge: 0.000 0.000 0.000  -0.03
Al: 0.500 0.500 0.500  -0.01
Pu: 0.250 0.250 0.250  5.21